Entry 1:
Below is a geometry-optimized Tb8PmTe2 structure, with properties calculated at the PBE level.

V = 30.9 Å³ per atom
DOS at the Fermi energy = 12.40 states/eV/cell
uncorrected formation energy = -0.4002 eV/atom
total energy = -0.3506 Ry per atom
calculated density = 8.16 g/cm³

Cell: 9.484 9.484 6.127 Å, 106.09 106.09 40.22°
Element x y z (fractional)
Tb 0.080 0.080 0.429
Tb 0.150 0.648 0.013
Tb 0.287 0.287 0.376
Tb 0.352 0.850 0.987
Tb 0.648 0.150 0.013
Tb 0.713 0.713 0.624
Tb 0.850 0.352 0.987
Tb 0.920 0.920 0.571
Pm 0.500 0.500 0.500
Te 0.236 0.236 0.822
Te 0.764 0.764 0.178

=====

Entry 2:
Below is a geometry-optimized CsNaHgCl4 structure, with properties calculated at the PBE level.

V = 34.4 Å³ per atom
DOS at the Fermi energy = 0.00 states/eV/cell
uncorrected formation energy = -1.3429 eV/atom
total energy = -0.2022 Ry per atom
calculated density = 3.44 g/cm³

Cell: 7.042 7.503 9.388 Å, 90.00 103.79 90.00°
Element x y z (fractional)
Cs 0.228 0.250 0.046
Cs 0.772 0.750 0.954
Na 0.130 0.250 0.508
Na 0.870 0.750 0.492
Hg 0.274 0.750 0.324
Hg 0.726 0.250 0.676
Cl 0.008 0.009 0.705
Cl 0.008 0.491 0.705
Cl 0.329 0.750 0.072
Cl 0.490 0.250 0.438
Cl 0.510 0.750 0.562
Cl 0.671 0.250 0.928
Cl 0.992 0.509 0.295
Cl 0.992 0.991 0.295

=====

Entry 3:
Below is a geometry-optimized CrReW2 structure, with properties calculated at the PBE level.

ΔE_f = 0.08 eV per atom
energy relative to the lowest polymorph listed for this composition = 0.0498 eV per atom
V = 14.9 Å³ per atom
DOS at the Fermi energy = 3.18 states/eV/cell
total energy = -0.8759 Ry per atom
calculated density = 16.88 g/cm³

Cell: 2.706 4.347 5.146 Å, 90.00 100.01 90.00°
Element x y z (fractional)
Cr 0.000 0.000 0.000
Re 0.500 0.000 0.500
W 0.245 0.500 0.755
W 0.755 0.500 0.245

=====

Entry 4:
Below is a geometry-optimized NdSm14Mg structure, with properties calculated at the PBE level.

ΔE_f = 0.01 eV per atom
V = 33.2 Å³ per atom
DOS at the Fermi energy = 19.41 states/eV/cell
total energy = -0.3319 Ry per atom
calculated density = 7.12 g/cm³

Cell: 10.222 7.204 7.204 Å, 90.00 90.00 90.00°
Element x y z (fractional)
Nd 0.000 0.000 0.000
Sm 0.000 0.000 0.500
Sm 0.000 0.500 0.000
Sm 0.248 0.251 0.251
Sm 0.248 0.251 0.750
Sm 0.248 0.750 0.251
Sm 0.249 0.750 0.750
Sm 0.500 0.000 0.000
Sm 0.500 0.000 0.500
Sm 0.500 0.500 0.000
Sm 0.500 0.500 0.500
Sm 0.751 0.750 0.750
Sm 0.752 0.251 0.251
Sm 0.752 0.251 0.750
Sm 0.752 0.750 0.251
Mg 0.000 0.499 0.499

=====

Entry 5:
Below is a geometry-optimized TmTe structure, with properties calculated at the PBE level.

V = 28.3 Å³ per atom
DOS at the Fermi energy = 3.14 states/eV/cell
uncorrected formation energy = -1.1866 eV/atom
total energy = -0.3670 Ry per atom
calculated density = 8.70 g/cm³

Cell: 7.541 7.541 7.541 Å, 149.03 149.03 44.37°
Element x y z (fractional)
Tm 0.000 0.000 0.000
Tm 0.750 0.250 0.500
Te 0.336 0.836 0.500
Te 0.586 0.586 0.000

=====

Entry 6:
Below is a geometry-optimized BeSeCl2 structure, with properties calculated at the PBE level.

energy relative to the lowest polymorph listed for this composition = 0.7895 eV per atom
V = 19.7 Å³ per atom
DOS at the Fermi energy = 2.89 states/eV/cell
uncorrected formation energy = 0.1928 eV/atom
total energy = -0.1862 Ry per atom
calculated density = 3.35 g/cm³

Cell: 3.090 3.090 8.245 Å, 90.00 90.00 90.00°
Element x y z (fractional)
Be 0.000 0.000 0.000
Se 0.500 0.500 0.795
Cl 0.000 0.000 0.571
Cl 0.500 0.500 0.160

=====

Entry 7:
Below is a geometry-optimized RbSCl3 structure, with properties calculated at the PBE level.

energy relative to the lowest polymorph listed for this composition = 0.0000 eV per atom
V = 37.1 Å³ per atom
DOS at the Fermi energy = 0.00 states/eV/cell
uncorrected formation energy = -0.8264 eV/atom
total energy = -0.2171 Ry per atom
calculated density = 2.01 g/cm³

Cell: 6.234 6.287 9.723 Å, 96.35 98.10 97.58°
Element x y z (fractional)
Rb 0.200 0.252 0.384
Rb 0.800 0.748 0.616
S 0.471 0.134 0.719
S 0.529 0.866 0.281
Cl 0.253 0.031 0.851
Cl 0.271 0.776 0.499
Cl 0.346 0.603 0.146
Cl 0.654 0.397 0.854
Cl 0.729 0.224 0.501
Cl 0.747 0.969 0.149

=====

Entry 8:
Below is a geometry-optimized RbTaCu2F8 structure, with properties calculated at the PBE level.

V = 17.8 Å³ per atom
uncorrected formation energy = -2.3326 eV/atom
total energy = -0.3918 Ry per atom
calculated density = 4.23 g/cm³

Cell: 9.064 9.064 9.064 Å, 34.57 34.57 34.57°
Element x y z (fractional)
Rb 0.000 0.000 0.000
Ta 0.500 0.500 0.500
Cu 0.272 0.272 0.272
Cu 0.728 0.728 0.728
F 0.121 0.623 0.623
F 0.344 0.344 0.344
F 0.377 0.377 0.879
F 0.377 0.879 0.377
F 0.623 0.121 0.623
F 0.623 0.623 0.121
F 0.656 0.656 0.656
F 0.879 0.377 0.377

=====

Entry 9:
Below is a geometry-optimized NbCo2MoH structure, with properties calculated at the PBE level.

energy relative to the lowest polymorph listed for this composition = 0.0000 eV per atom
V = 11.2 Å³ per atom
DOS at the Fermi energy = 2.58 states/eV/cell
total energy = -0.5684 Ry per atom
calculated density = 9.10 g/cm³

Cell: 3.771 3.771 3.947 Å, 90.00 90.00 90.00°
Element x y z (fractional)
Nb 0.000 0.000 0.000
Co 0.000 0.500 0.500
Co 0.500 0.000 0.500
Mo 0.500 0.500 0.000
H 0.500 0.500 0.500

=====

Entry 10:
Below is a geometry-optimized Pm2ErBi structure, with properties calculated at the PBE level.

ΔE_f = -0.21 eV per atom
energy relative to the lowest polymorph listed for this composition = 0.1783 eV per atom
V = 30.4 Å³ per atom
DOS at the Fermi energy = 2.82 states/eV/cell
total energy = -0.3452 Ry per atom
calculated density = 9.09 g/cm³

Cell: 5.562 5.562 5.562 Å, 60.00 60.00 60.00°
Element x y z (fractional)
Pm 0.250 0.250 0.250
Pm 0.750 0.750 0.750
Er 0.000 0.000 0.000
Bi 0.500 0.500 0.500

=====

Entry 11:
Below is a geometry-optimized Ga3CuNi5 structure, with properties calculated at the PBE level.

ΔE_f = 0.03 eV per atom
energy relative to the lowest polymorph listed for this composition = 0.3295 eV per atom
V = 13.0 Å³ per atom
DOS at the Fermi energy = 10.74 states/eV/cell
total energy = -0.3416 Ry per atom
calculated density = 8.04 g/cm³

Cell: 7.079 7.079 7.079 Å, 124.01 124.01 83.18°
Element x y z (fractional)
Ga 0.121 0.621 0.743
Ga 0.250 0.250 0.000
Ga 0.379 0.121 0.500
Ga 0.621 0.879 0.500
Ga 0.750 0.750 0.000
Ga 0.879 0.379 0.257
Cu 0.250 0.750 0.500
Cu 0.750 0.250 0.500
Ni 0.000 0.000 0.000
Ni 0.064 0.161 0.500
Ni 0.161 0.661 0.097
Ni 0.339 0.436 0.500
Ni 0.436 0.936 0.097
Ni 0.500 0.500 0.000
Ni 0.564 0.064 0.903
Ni 0.661 0.564 0.500
Ni 0.839 0.339 0.903
Ni 0.936 0.839 0.500

=====

Entry 12:
Below is a geometry-optimized Ce2Er3TaN6 structure, with properties calculated at the PBE level.

V = 14.0 Å³ per atom
DOS at the Fermi energy = 7.47 states/eV/cell
uncorrected formation energy = -1.5427 eV/atom
total energy = -0.6485 Ry per atom
calculated density = 10.33 g/cm³

Cell: 5.918 5.918 5.887 Å, 99.61 99.61 119.98°
Element x y z (fractional)
Ce 0.166 0.834 0.000
Ce 0.834 0.166 0.000
Er 0.000 0.000 0.500
Er 0.335 0.665 0.500
Er 0.665 0.335 0.500
Ta 0.500 0.500 0.000
N 0.109 0.420 0.760
N 0.271 0.271 0.246
N 0.420 0.109 0.760
N 0.580 0.891 0.240
N 0.729 0.729 0.754
N 0.891 0.580 0.240

=====

Entry 13:
Below is a geometry-optimized SiRu2W2 structure, with properties calculated at the PBE level.

energy relative to the lowest polymorph listed for this composition = 0.3255 eV per atom
V = 17.4 Å³ per atom
DOS at the Fermi energy = 4.72 states/eV/cell
uncorrected formation energy = 0.6913 eV/atom
total energy = -0.6824 Ry per atom
calculated density = 11.39 g/cm³

Cell: 6.445 6.445 6.445 Å, 145.11 145.11 50.17°
Element x y z (fractional)
Si 0.000 0.000 0.000
Ru 0.250 0.750 0.500
Ru 0.750 0.250 0.500
W 0.389 0.389 0.000
W 0.611 0.611 0.000

=====

Entry 14:
Below is a geometry-optimized KAg2Rh structure, with properties calculated at the PBE level.

ΔE_f = 0.42 eV per atom
energy relative to the lowest polymorph listed for this composition = 0.0942 eV per atom
V = 20.8 Å³ per atom
DOS at the Fermi energy = 2.18 states/eV/cell
total energy = -0.2290 Ry per atom
calculated density = 7.14 g/cm³

Cell: 6.223 6.223 6.223 Å, 153.42 129.07 58.36°
Element x y z (fractional)
K 0.000 0.000 0.000
Ag 0.488 0.488 0.000
Ag 0.720 0.220 0.500
Rh 0.272 0.772 0.500

=====

Entry 15:
Below is a geometry-optimized CeAgP2 structure, with properties calculated at the PBE level.

ΔE_f = -0.56 eV per atom
V = 20.7 Å³ per atom
DOS at the Fermi energy = 20.03 states/eV/cell
total energy = -0.4017 Ry per atom
calculated density = 6.22 g/cm³

Cell: 5.567 5.567 10.805 Å, 94.77 94.77 84.19°
Element x y z (fractional)
Ce 0.092 0.334 0.168
Ce 0.334 0.092 0.668
Ce 0.666 0.908 0.332
Ce 0.908 0.666 0.832
Ag 0.169 0.647 0.462
Ag 0.353 0.831 0.038
Ag 0.647 0.169 0.962
Ag 0.831 0.353 0.538
P 0.096 0.170 0.903
P 0.170 0.096 0.403
P 0.416 0.518 0.844
P 0.482 0.584 0.656
P 0.518 0.416 0.344
P 0.584 0.482 0.156
P 0.830 0.904 0.597
P 0.904 0.830 0.097

=====

Entry 16:
Below is a geometry-optimized RbPuP2O6 structure, with properties calculated at the PBE level.

V = 19.1 Å³ per atom
DOS at the Fermi energy = 16.08 states/eV/cell
uncorrected formation energy = -2.3586 eV/atom
total energy = -0.5840 Ry per atom
calculated density = 4.23 g/cm³

Cell: 6.961 6.961 8.567 Å, 93.72 93.72 111.86°
Element x y z (fractional)
Rb 0.088 0.912 0.750
Rb 0.912 0.088 0.250
Pu 0.337 0.663 0.250
Pu 0.663 0.337 0.750
P 0.249 0.511 0.810
P 0.489 0.751 0.690
P 0.511 0.249 0.310
P 0.751 0.489 0.190
O 0.027 0.454 0.729
O 0.263 0.601 0.981
O 0.322 0.328 0.793
O 0.328 0.322 0.293
O 0.399 0.737 0.519
O 0.454 0.027 0.229
O 0.546 0.973 0.771
O 0.601 0.263 0.481
O 0.672 0.678 0.707
O 0.678 0.672 0.207
O 0.737 0.399 0.019
O 0.973 0.546 0.271

=====

Entry 17:
Below is a geometry-optimized ScNiPd2 structure, with properties calculated at the PBE level.

ΔE_f = -0.30 eV per atom
V = 16.6 Å³ per atom
DOS at the Fermi energy = 5.05 states/eV/cell
total energy = -0.4353 Ry per atom
calculated density = 7.91 g/cm³

Cell: 9.362 9.362 9.362 Å, 156.26 156.26 33.83°
Element x y z (fractional)
Sc 0.000 0.000 0.000
Sc 0.750 0.250 0.500
Ni 0.250 0.750 0.500
Ni 0.500 0.500 0.000
Pd 0.138 0.625 0.013
Pd 0.375 0.388 0.513
Pd 0.612 0.125 0.987
Pd 0.875 0.862 0.487

=====

Entry 18:
Below is a geometry-optimized YBeCo2 structure, with properties calculated at the PBE level.

ΔE_f = 0.07 eV per atom
V = 15.0 Å³ per atom
DOS at the Fermi energy = 4.34 states/eV/cell
total energy = -0.4434 Ry per atom
calculated density = 5.98 g/cm³

Cell: 3.798 3.798 4.156 Å, 90.00 90.00 90.00°
Element x y z (fractional)
Y 0.000 0.000 0.000
Be 0.500 0.500 0.269
Co 0.000 0.500 0.499
Co 0.500 0.000 0.499

=====

Entry 19:
Below is a geometry-optimized Pm5In2Ge2 structure, with properties calculated at the PBE level.

ΔE_f = -0.60 eV per atom
V = 28.5 Å³ per atom
DOS at the Fermi energy = 17.17 states/eV/cell
total energy = -0.3583 Ry per atom
calculated density = 7.12 g/cm³

Cell: 9.003 9.003 7.999 Å, 90.00 90.00 52.29°
Element x y z (fractional)
Pm 0.000 0.000 0.000
Pm 0.057 0.689 0.679
Pm 0.189 0.557 0.179
Pm 0.311 0.943 0.679
Pm 0.443 0.811 0.179
Pm 0.500 0.500 0.500
Pm 0.557 0.189 0.821
Pm 0.689 0.057 0.321
Pm 0.811 0.443 0.821
Pm 0.943 0.311 0.321
In 0.219 0.219 0.000
In 0.281 0.281 0.500
In 0.719 0.719 0.500
In 0.781 0.781 0.000
Ge 0.121 0.879 0.376
Ge 0.379 0.621 0.876
Ge 0.621 0.379 0.124
Ge 0.879 0.121 0.624

=====

Entry 20:
Below is a geometry-optimized TiTc2Mo2 structure, with properties calculated at the PBE level.

ΔE_f = 0.21 eV per atom
energy relative to the lowest polymorph listed for this composition = 0.3448 eV per atom
V = 16.3 Å³ per atom
DOS at the Fermi energy = 11.58 states/eV/cell
total energy = -0.7238 Ry per atom
calculated density = 8.90 g/cm³

Cell: 7.460 7.460 2.922 Å, 90.00 90.00 90.00°
Element x y z (fractional)
Ti 0.000 0.000 0.000
Ti 0.500 0.500 0.000
Tc 0.152 0.348 0.500
Tc 0.348 0.848 0.500
Tc 0.652 0.152 0.500
Tc 0.848 0.652 0.500
Mo 0.148 0.648 0.000
Mo 0.352 0.148 0.000
Mo 0.648 0.852 0.000
Mo 0.852 0.352 0.000